(1)
# ZnCuH6Ir2 (PBE, optimized geometry)
data_ZnCuH6Ir2
_chemical_formula_sum 'Zn4 Cu4 H24 Ir8'
_symmetry_space_group_name_H-M 'C 1 2/c 1'
_symmetry_Int_Tables_number 15
_cell_length_a 7.236
_cell_length_b 8.670
_cell_length_c 5.304
_cell_angle_alpha 90.00
_cell_angle_beta 99.01
_cell_angle_gamma 90.00
loop_
_symmetry_equiv_pos_as_xyz
'x,y,z'
'-x,-y,-z'
'-x,y,-z+1/2'
'x,-y,z+1/2'
'x+1/2,y+1/2,z'
'-x+1/2,-y+1/2,-z'
'-x+1/2,y+1/2,-z+1/2'
'x+1/2,-y+1/2,z+1/2'
loop_
_atom_site_label
_atom_site_fract_x
_atom_site_fract_y
_atom_site_fract_z
Zn1 0.000 0.140 0.250
Cu1 0.000 0.398 0.750
H1 0.068 0.395 0.105
H2 0.189 0.264 0.656
H3 0.236 0.051 0.565
Ir1 0.203 0.120 0.853
# Crystal system: monoclinic
# Calculated total energy in eV/atom: -4.1912

---

(2)
# La2SmHo3Er6 (PBE, optimized geometry)
data_La2SmHo3Er6
_chemical_formula_sum 'La4 Sm2 Ho6 Er12'
_symmetry_space_group_name_H-M 'C 1 2/m 1'
_symmetry_Int_Tables_number 12
_cell_length_a 6.179
_cell_length_b 10.697
_cell_length_c 11.755
_cell_angle_alpha 90.00
_cell_angle_beta 100.07
_cell_angle_gamma 90.00
loop_
_symmetry_equiv_pos_as_xyz
'x,y,z'
'-x,-y,-z'
'-x,y,-z'
'x,-y,z'
'x+1/2,y+1/2,z'
'-x+1/2,-y+1/2,-z'
'-x+1/2,y+1/2,-z'
'x+1/2,-y+1/2,z'
loop_
_atom_site_label
_atom_site_fract_x
_atom_site_fract_y
_atom_site_fract_z
La1 0.000 0.166 0.000
Sm1 0.000 0.500 0.000
Ho1 0.000 0.000 0.500
Ho2 0.000 0.333 0.500
Er1 0.246 0.500 0.745
Er2 0.247 0.166 0.745
# Formation energy in eV/atom: 0.0247
# Crystal system: monoclinic

---

(3)
# Ta3GeP (PBE, optimized geometry)
data_Ta3GeP
_chemical_formula_sum 'Ta3 Ge1 P1'
_symmetry_space_group_name_H-M 'P m -3 m'
_symmetry_Int_Tables_number 221
_symmetry_space_group_name_Hall '-P 4 2 3'
_cell_length_a 4.594
_cell_length_b 4.594
_cell_length_c 4.594
_cell_angle_alpha 90.00
_cell_angle_beta 90.00
_cell_angle_gamma 90.00
loop_
_atom_site_label
_atom_site_fract_x
_atom_site_fract_y
_atom_site_fract_z
Ta1 0.000 0.000 0.500
Ge1 0.500 0.500 0.500
P1 0.000 0.000 0.000
# Formation energy in eV/atom: 0.5302
# Crystal system: cubic
# Offset from the most stable computed form in meV per atom: 0

---

In the order shown, the computed size of the total moment values come out to 0.00, 0.00, 0.00 μB per formula unit.